Record 1
Material: Ac4Pm3NdS8
Method: DFT, GGA-PBE
State: optimized geometry

a = 8.3258 Å, b = 8.3258 Å, c = 20.5552 Å
α = 90.00°, β = 90.00°, γ = 120.00°
With the nearest neighbours (Å) after each atom.
Space group R-3m (No. 166, hexagonal axes)
One atom of each set of equivalent atoms:
Ac: 0.0000 0.0000 0.0000 (multiplicity 3)  6 S 3.01
Ac: 0.0000 0.5000 0.0000 (multiplicity 9)  6 S 3.03
Pm: 0.0000 0.5000 0.5000 (multiplicity 9)  6 S 2.88
Nd: 0.0000 0.0000 0.5000 (multiplicity 3)  6 S 2.89
S: 0.0000 0.0000 0.2438 (multiplicity 6)  3 Pm 2.88, 3 Ac 3.03
S: 0.0016 0.5008 0.7558 (multiplicity 18)  2 Pm 2.88, 1 Nd 2.89, 3 Ac 3.01-3.03

Results
DFT total energy	-301.9	eV per cell
crystal system	trigonal



Record 2
Material: AlBH2
Method: DFT, GGA-PBE
State: optimized geometry

a = 9.7800 Å, b = 5.3034 Å, c = 3.4495 Å
α = 90.00°, β = 93.17°, γ = 90.00°
With the nearest neighbours (Å) after each atom.
Space group Cm (No. 8)
One atom of each set of equivalent atoms:
Al: 0.0000 0.2432 0.0000 (multiplicity 4)  1 H 1.85
B: 0.0155 0.5000 0.5149 (multiplicity 2)  1 H 1.24
B: 0.3488 0.0000 0.2665 (multiplicity 2)  3 H 1.20-1.27
H: 0.1263 0.5000 0.3561 (multiplicity 2)  1 B 1.24
H: 0.2624 0.0000 0.5003 (multiplicity 2)  1 B 1.20
H: 0.3164 0.1846 0.0439 (multiplicity 4)  1 B 1.27

Results
DFT total energy	-67.5	eV per cell
crystal system	monoclinic



- DFT total energy of number 2 (AlBH2)?
  -67.5 eV per cell



Please write out number 1 again, unchanged.
Material: Ac4Pm3NdS8
Method: DFT, GGA-PBE
State: optimized geometry

a = 8.3258 Å, b = 8.3258 Å, c = 20.5552 Å
α = 90.00°, β = 90.00°, γ = 120.00°
With the nearest neighbours (Å) after each atom.
Space group R-3m (No. 166, hexagonal axes)
One atom of each set of equivalent atoms:
Ac: 0.0000 0.0000 0.0000 (multiplicity 3)  6 S 3.01
Ac: 0.0000 0.5000 0.0000 (multiplicity 9)  6 S 3.03
Pm: 0.0000 0.5000 0.5000 (multiplicity 9)  6 S 2.88
Nd: 0.0000 0.0000 0.5000 (multiplicity 3)  6 S 2.89
S: 0.0000 0.0000 0.2438 (multiplicity 6)  3 Pm 2.88, 3 Ac 3.03
S: 0.0016 0.5008 0.7558 (multiplicity 18)  2 Pm 2.88, 1 Nd 2.89, 3 Ac 3.01-3.03

Results
DFT total energy	-301.9	eV per cell
crystal system	trigonal



- Among the records above, which one has the highest DFT total energy?
  AlBH2



- Among the records above, which one has the highest DFT total energy?
  AlBH2